Density functional theory data (GGA-PBE) for a relaxed structure of CeNb2N3.

The value obtained for the calculated total energy is -9.626 eV/atom.

It has space group P2_1/m (No. 11), with a = 5.7106 Å, b = 3.1643 Å, c = 8.4822 Å, α = 90.00°, β = 103.30° and γ = 90.00°. The distinct sites, in fractional coordinates, are Ce at (0.0272, 0.2500, 0.3255), Nb at (0.2684, 0.2500, 0.0078), Nb at (0.4772, 0.2500, 0.6700), N at (0.1482, 0.7500, 0.1450), N at (0.2853, 0.7500, 0.5073) and N at (0.3798, 0.7500, 0.8429).